Computed, not measured: a geometry-optimized Sr2CuPtN structure at the PBE-GGA level of DFT.

Cell: 5.391 5.391 3.863 Å, 90.00 90.00 90.00°
Element x y z (fractional)
Pt1 0.000 0.000 0.500
Sr1 0.500 0.000 0.000
Sr2 0.000 0.500 0.000
Cu1 0.500 0.500 0.500
N1 0.000 0.000 0.000

Energy above the lowest structure with this stoichiometry   120 meV per atom
Electronic total energy   -23.8 eV for the cell shown
Uncorrected formation energy   -0.40 eV per atom
Calculated density   6.62 Mg/m³
Space group   P4/mmm


Computed, not measured: a geometry-optimized KBaIr2 structure at the PBE-GGA level of DFT.

Cell: 4.491 5.094 6.034 Å, 65.06 90.00 90.00°
Element x y z (fractional)
Ba1 0.500 0.767 0.841
Ir1 0.000 0.166 0.042
Ir2 0.500 0.091 0.194
K1 0.000 0.476 0.423

Energy above the lowest structure with this stoichiometry   89 meV per atom
Electronic total energy   -20.1 eV for the cell shown
Calculated formation energy   158 meV per atom
Calculated density   7.44 Mg/m³
Space group   Amm2


- electronic total energy of number 2 (KBaIr2)?
  -20.1 eV for the cell shown